# SrCoGeSb2, optimized geometry, DFT PBE
# * formation energy without anion corrections: -150 meV per atom
# * space group: P4/mmm, No. 123
# * magnetic moment: 0.13 μB per cell
# * DOS at the Fermi energy: 1.00 states/eV per atom
data_SrCoGeSb2
_symmetry_space_group_name_H-M 'P 1'
_symmetry_Int_Tables_number 1
_cell_length_a 5.2827
_cell_length_b 5.2827
_cell_length_c 4.5210
_cell_angle_alpha 90.00
_cell_angle_beta 90.00
_cell_angle_gamma 90.00
loop_
_symmetry_equiv_pos_as_xyz
'x,y,z'
loop_
_atom_site_label
_atom_site_type_symbol
_atom_site_fract_x
_atom_site_fract_y
_atom_site_fract_z
Sb1 Sb 0.0000 0.5000 0.0000
Sb2 Sb 0.5000 0.0000 0.0000
Ge1 Ge 0.0000 0.0000 0.5000
Co1 Co 0.0000 0.0000 0.0000
Sr1 Sr 0.5000 0.5000 0.5000